# NiTe2SeN

Crystalline NiTe2SeN at its relaxed geometry (PBE-GGA, Alexandria via LeMat-Bulk).

The space group is P4/mmm (No. 123) and the conventional cell measures 5.385, 5.385 and 3.442 Å, with angles of 90.00, 90.00 and 90.00 degrees. Symmetry generates all atoms from Ni at (0.000, 0.000, 0.000), Te at (0.000, 0.500, 0.000), Se at (0.500, 0.500, 0.500) and N at (0.000, 0.000, 0.500).

The value obtained for the uncorrected formation energy is 0.51 eV/atom. Its crystal system is tetragonal. Its magnetic moment is 0.000 μB per atom.